Entry 1:
# Sm12Dy5Y2

A geometry-optimized Sm12Dy5Y2 structure (PBE, Alexandria).

density: 7.26 g/cm³
DOS at the Fermi energy: 28.4 states/eV/f.u.
DFT formation energy: 0.127 eV/atom
magnetization: 0.0 μB/cell
energy above the most stable polymorph in this dataset: 0.000 eV/atom
volume: 33.66 A^3/atom

a b c (Å): 9.2666 9.1968 8.6902
angles (deg): 91.43 90.00 120.25
Closest atoms and distances in Å follow each position.
Positions (direct):
Sm (0.9158, 0.8317, 0.1181)  5 Sm 3.42-3.66, 3 Dy 3.47-3.64, 2 Y 3.48
Sm (0.0290, 0.6955, 0.7613)  4 Sm 3.36-3.66, 1 Y 3.42, 4 Dy 3.52-3.76
Sm (0.6665, 0.6955, 0.7613)  4 Sm 3.36-3.66, 1 Y 3.42, 4 Dy 3.52-3.76
Sm (0.1773, 0.7440, 0.3269)  4 Dy 3.41-3.77, 5 Sm 3.44-3.61, 1 Y 3.55
Sm (0.5667, 0.7440, 0.3269)  4 Dy 3.41-3.77, 5 Sm 3.44-3.61, 1 Y 3.55
Sm (0.4393, 0.8786, 0.6588)  2 Dy 3.38-3.61, 7 Sm 3.41-3.54, 2 Y 3.48
Sm (0.5607, 0.1214, 0.3412)  2 Dy 3.38-3.61, 7 Sm 3.41-3.54, 2 Y 3.48
Sm (0.8227, 0.2560, 0.6731)  4 Dy 3.41-3.77, 5 Sm 3.44-3.61, 1 Y 3.55
Sm (0.4333, 0.2560, 0.6731)  4 Dy 3.41-3.77, 5 Sm 3.44-3.61, 1 Y 3.55
Sm (0.9710, 0.3045, 0.2387)  4 Sm 3.36-3.66, 1 Y 3.42, 4 Dy 3.52-3.76
Sm (0.3335, 0.3045, 0.2387)  4 Sm 3.36-3.66, 1 Y 3.42, 4 Dy 3.52-3.76
Sm (0.0842, 0.1683, 0.8819)  5 Sm 3.42-3.66, 3 Dy 3.47-3.64, 2 Y 3.48
Dy (0.2311, 0.4622, 0.5686)  8 Sm 3.38-3.64, 2 Dy 3.67-3.70
Dy (0.2980, 0.5960, 0.9766)  8 Sm 3.47-3.70, 2 Y 3.59, 1 Dy 3.67
Dy (0.0000, 0.0000, 0.5000)  10 Sm 3.54-3.77, 2 Dy 3.70
Dy (0.7020, 0.4040, 0.0234)  8 Sm 3.47-3.70, 2 Y 3.59, 1 Dy 3.67
Dy (0.7689, 0.5378, 0.4314)  8 Sm 3.38-3.64, 2 Dy 3.67-3.70
Y (0.6735, 0.0000, 0.0000)  1 Y 3.21, 8 Sm 3.42-3.55, 2 Dy 3.59
Y (0.3265, 0.0000, 0.0000)  1 Y 3.21, 8 Sm 3.42-3.55, 2 Dy 3.59

Entry 2:
# SmDy4Y2

A geometry-optimized SmDy4Y2 structure (PBE, Alexandria).

density: 7.21 g/cm³
DOS at the Fermi energy: 10.9 states/eV/f.u.
DFT formation energy: 0.041 eV/atom
magnetization: 0.0 μB/cell
energy above the most stable polymorph in this dataset: 0.000 eV/atom
volume: 32.19 A^3/atom

a b c (Å): 3.5254 9.4490 8.5581
angles (deg): 121.58 78.13 111.90
Closest atoms and distances in Å follow each position.
Positions (direct):
Sm (0.0000, 0.0000, 0.0000)  2 Y 3.35, 2 Sm 3.53, 4 Dy 3.58
Dy (0.4113, 0.7071, 0.5901)  3 Y 3.32-3.51, 7 Dy 3.53-3.72, 2 Sm 3.58
Dy (0.8065, 0.1636, 0.7156)  7 Dy 3.53-3.77, 4 Y 3.61-3.62, 2 Sm 3.77
Dy (0.5887, 0.2929, 0.4099)  3 Y 3.32-3.51, 7 Dy 3.53-3.72, 2 Sm 3.58
Dy (0.1935, 0.8364, 0.2844)  7 Dy 3.53-3.77, 4 Y 3.61-3.62, 2 Sm 3.77
Y (0.3598, 0.4302, 0.1413)  3 Y 3.15-3.53, 3 Dy 3.32-3.51, 1 Sm 3.35
Y (0.6402, 0.5698, 0.8587)  3 Y 3.15-3.53, 3 Dy 3.32-3.51, 1 Sm 3.35

Entry 3:
# Sm2Dy3Y2

A geometry-optimized Sm2Dy3Y2 structure (PBE, Alexandria).

density: 7.10 g/cm³
DOS at the Fermi energy: 9.4 states/eV/f.u.
DFT formation energy: 0.018 eV/atom
magnetization: 0.0 μB/cell
energy above the most stable polymorph in this dataset: 0.000 eV/atom
volume: 32.28 A^3/atom

a b c (Å): 3.5761 10.7315 6.1797
angles (deg): 95.49 73.27 89.95
Closest atoms and distances in Å follow each position.
Positions (direct):
Sm (0.7138, 0.1433, 0.5722)  3 Y 3.57-3.59, 5 Dy 3.57-3.58, 4 Sm 3.58-3.59
Sm (0.2862, 0.8567, 0.4278)  3 Y 3.57-3.59, 5 Dy 3.57-3.58, 4 Sm 3.58-3.59
Dy (0.0000, 0.0000, 0.0000)  6 Sm 3.57-3.58, 2 Dy 3.58, 4 Y 3.59
Dy (0.8567, 0.5712, 0.2869)  5 Dy 3.56-3.58, 5 Y 3.56-3.57, 2 Sm 3.57
Dy (0.1433, 0.4288, 0.7131)  5 Dy 3.56-3.58, 5 Y 3.56-3.57, 2 Sm 3.57
Y (0.4289, 0.2878, 0.1421)  7 Dy 3.56-3.59, 3 Sm 3.57-3.59, 2 Y 3.58
Y (0.5711, 0.7122, 0.8579)  7 Dy 3.56-3.59, 3 Sm 3.57-3.59, 2 Y 3.58